# 1
This record from the Alexandria database describes an optimized crystal structure of Pm5Tm8Mg. The functional is GGA-PBE.

Summary:
* calculated formation energy: 225 meV/atom
* crystal system: tetragonal
* final energy: -4.14 eV per atom
* spin magnetization: 0.000 μB per atom

```
data_Pm5Tm8Mg
_chemical_formula_sum 'Pm10 Tm16 Mg2'
_cell_length_a 9.545
_cell_length_b 9.545
_cell_length_c 9.911
_cell_angle_alpha 90.00
_cell_angle_beta 90.00
_cell_angle_gamma 90.00
_space_group_name_H-M_alt 'I -4'
_space_group_IT_number 82
loop_
_space_group_symop_operation_xyz
'x,y,z'
'y,-x,-z'
'-x,-y,z'
'-y,x,-z'
'x+1/2,y+1/2,z+1/2'
'y+1/2,-x+1/2,-z+1/2'
'-x+1/2,-y+1/2,z+1/2'
'-y+1/2,x+1/2,-z+1/2'
loop_
_atom_site_label
_atom_site_type_symbol
_atom_site_fract_x
_atom_site_fract_y
_atom_site_fract_z
Pm1 Pm 0.000 0.000 0.000
Pm2 Pm 0.104 0.213 0.580
Tm1 Tm 0.070 0.326 0.906
Tm2 Tm 0.088 0.182 0.245
Mg1 Mg 0.000 0.500 0.250
```



# 2
This record from the Alexandria database describes an optimized crystal structure of Pm4Tm2Mg. The functional is GGA-PBE.

Summary:
* calculated formation energy: 123 meV/atom
* crystal system: monoclinic
* final energy: -4.10 eV per atom
* spin magnetization: 0.000 μB per atom
* E above lowest polymorph: 0.000 eV per atom

```
data_Pm4Tm2Mg
_chemical_formula_sum 'Pm4 Tm2 Mg1'
_cell_length_a 5.921
_cell_length_b 3.651
_cell_length_c 10.946
_cell_angle_alpha 90.00
_cell_angle_beta 99.33
_cell_angle_gamma 90.00
_space_group_name_H-M_alt 'P 1 2/m 1'
_space_group_IT_number 10
loop_
_space_group_symop_operation_xyz
'x,y,z'
'-x,-y,-z'
'-x,y,-z'
'x,-y,z'
loop_
_atom_site_label
_atom_site_type_symbol
_atom_site_fract_x
_atom_site_fract_y
_atom_site_fract_z
Pm1 Pm 0.047 0.000 0.206
Pm2 Pm 0.436 0.500 0.748
Tm1 Tm 0.000 0.500 0.500
Tm2 Tm 0.500 0.000 0.500
Mg1 Mg 0.500 0.000 0.000
```



# 3
This record from the Alexandria database describes an optimized crystal structure of Pm8Tm2Mg. The functional is GGA-PBE.

Summary:
* calculated formation energy: 148 meV/atom
* crystal system: monoclinic
* final energy: -4.27 eV per atom
* spin magnetization: 0.000 μB per atom
* E above lowest polymorph: 0.000 eV per atom

```
data_Pm8Tm2Mg
_chemical_formula_sum 'Pm16 Tm4 Mg2'
_cell_length_a 10.388
_cell_length_b 13.215
_cell_length_c 5.466
_cell_angle_alpha 90.00
_cell_angle_beta 90.11
_cell_angle_gamma 90.00
_space_group_name_H-M_alt 'C 1 m 1'
_space_group_IT_number 8
loop_
_space_group_symop_operation_xyz
'x,y,z'
'x,-y,z'
'x+1/2,y+1/2,z'
'x+1/2,-y+1/2,z'
loop_
_atom_site_label
_atom_site_type_symbol
_atom_site_fract_x
_atom_site_fract_y
_atom_site_fract_z
Pm1 Pm 0.000 0.000 0.000
Pm2 Pm 0.001 0.362 0.501
Pm3 Pm 0.172 0.138 0.499
Pm4 Pm 0.173 0.500 0.000
Pm5 Pm 0.337 0.253 0.000
Tm1 Tm 0.337 0.379 0.500
Mg1 Mg 0.336 0.000 0.000
```



# 4
This record from the Alexandria database describes an optimized crystal structure of Pm8Tm6Mg. The functional is GGA-PBE.

Summary:
* calculated formation energy: 144 meV/atom
* crystal system: trigonal
* final energy: -4.28 eV per atom
* spin magnetization: 0.000 μB per atom

```
data_Pm8Tm6Mg
_chemical_formula_sum 'Pm8 Tm6 Mg1'
_cell_length_a 9.3199
_cell_length_b 9.3199
_cell_length_c 6.4400
_cell_angle_alpha 90.00
_cell_angle_beta 90.00
_cell_angle_gamma 120.00
_space_group_name_H-M_alt 'P -3'
_space_group_IT_number 147
loop_
_space_group_symop_operation_xyz
'x,y,z'
'-x,-y,-z'
'-y,x-y,z'
'y,-x+y,-z'
'-x+y,-x,z'
'x-y,x,-z'
loop_
_atom_site_label
_atom_site_type_symbol
_atom_site_fract_x
_atom_site_fract_y
_atom_site_fract_z
Pm1 Pm 0.0390 0.7622 0.3240
Pm2 Pm 0.3333 0.6667 0.3546
Tm1 Tm 0.0966 0.6503 0.8347
Mg1 Mg 0.0000 0.0000 0.0000
```



# 5
This record from the Alexandria database describes an optimized crystal structure of Pm6Tm4Mg. The functional is GGA-PBE.

Summary:
* calculated formation energy: 117 meV/atom
* crystal system: orthorhombic
* final energy: -4.25 eV per atom
* spin magnetization: 0.000 μB per atom

```
data_Pm6Tm4Mg
_chemical_formula_sum 'Pm24 Tm16 Mg4'
_cell_length_a 5.728
_cell_length_b 9.675
_cell_length_c 25.617
_cell_angle_alpha 90.00
_cell_angle_beta 90.00
_cell_angle_gamma 90.00
_space_group_name_H-M_alt 'C m c m'
_space_group_IT_number 63
_space_group_name_Hall '-C 2c 2'
loop_
_atom_site_label
_atom_site_type_symbol
_atom_site_fract_x
_atom_site_fract_y
_atom_site_fract_z
Pm1 Pm 0.000 0.000 0.000
Pm2 Pm 0.000 0.029 0.250
Pm3 Pm 0.000 0.312 0.606
Pm4 Pm 0.000 0.359 0.181
Tm1 Tm 0.000 0.026 0.122
Tm2 Tm 0.000 0.343 0.045
Mg1 Mg 0.000 0.306 0.750
```



# 6
This record from the Alexandria database describes an optimized crystal structure of Pm6TmMg. The functional is GGA-PBE.

Summary:
* calculated formation energy: 5 meV/atom
* crystal system: tetragonal
* final energy: -4.32 eV per atom
* spin magnetization: 0.000 μB per atom
* E above lowest polymorph: 0.000 eV per atom

```
data_Pm6TmMg
_chemical_formula_sum 'Pm6 Tm1 Mg1'
_cell_length_a 5.042
_cell_length_b 5.042
_cell_length_c 10.170
_cell_angle_alpha 90.00
_cell_angle_beta 90.00
_cell_angle_gamma 90.00
_space_group_name_H-M_alt 'P 4/m m m'
_space_group_IT_number 123
_space_group_name_Hall '-P 4 2'
loop_
_atom_site_label
_atom_site_type_symbol
_atom_site_fract_x
_atom_site_fract_y
_atom_site_fract_z
Pm1 Pm 0.000 0.000 0.000
Pm2 Pm 0.000 0.000 0.500
Pm3 Pm 0.000 0.500 0.248
Tm1 Tm 0.500 0.500 0.500
Mg1 Mg 0.500 0.500 0.000
```